# TbPrGaRu, relaxed, DFT PBE-GGA
# symmetry	Amm2, No. 38
# formation energy	-417	meV/atom
data_TbPrGaRu
_cell_length_a 4.419
_cell_length_b 3.957
_cell_length_c 5.899
_cell_angle_alpha 90.00
_cell_angle_beta 112.00
_cell_angle_gamma 90.00
_symmetry_space_group_name_H-M 'P 1'
_symmetry_Int_Tables_number 1
loop_
_symmetry_equiv_pos_as_xyz
'x,y,z'
loop_
_atom_site_label
_atom_site_type_symbol
_atom_site_fract_x
_atom_site_fract_y
_atom_site_fract_z
_atom_site_occupancy
Tb1 Tb 0.869 0.500 0.738 1
Pr1 Pr 0.154 0.000 0.309 1
Ga1 Ga 0.563 0.500 0.127 1
Ru1 Ru 0.413 0.000 0.826 1